Record 1
Compound: KSmBe2F8
Source: Alexandria
Functional: GGA-PBE
Structure: optimized geometry

Structure (POSCAR):
```
KSmBe2F8
1.0
4.2041 -2.7867 0.0000
4.2041 2.7867 0.0000
-0.3423 0.0000 8.2697
K Sm Be F
1 1 2 8
Direct
0.0000 0.0000 0.0000
0.0000 0.0000 0.5000
0.3760 0.3760 0.7294
0.6240 0.6240 0.2706
0.2484 0.7147 0.7056
0.2619 0.2619 0.5681
0.2853 0.7516 0.2944
0.2947 0.2947 0.8855
0.7053 0.7053 0.1145
0.7147 0.2484 0.7056
0.7381 0.7381 0.4319
0.7516 0.2853 0.2944
```

Total magnetization   0.16 μB per formula unit
Total DFT energy (no corrections)   -5.820 eV/atom
Formation energy from raw total energies   -3.467 eV per atom
D(E_F)   0.00 states/eV/f.u.

---

Record 2
Compound: KSrBeF5
Source: Alexandria
Functional: GGA-PBE
Structure: optimized geometry

Structure (POSCAR):
```
KSrBeF5
1.0
3.6046 -4.8958 0.0000
3.6046 4.8958 0.0000
-3.0285 0.0000 7.9659
K Sr Be F
2 2 2 10
Direct
0.1494 0.8506 0.7500
0.8506 0.1494 0.2500
0.5000 0.5000 0.0000
0.5000 0.5000 0.5000
0.1879 0.8121 0.2500
0.8121 0.1879 0.7500
0.0641 0.2468 0.8818
0.1789 0.6128 0.3448
0.2468 0.0641 0.3818
0.3872 0.8211 0.1552
0.4039 0.5961 0.7500
0.5961 0.4039 0.2500
0.6128 0.1789 0.8448
0.7532 0.9359 0.6182
0.8211 0.3872 0.6552
0.9359 0.7532 0.1182
```

Total magnetization   0.20 μB per formula unit
Total DFT energy (no corrections)   -5.378 eV/atom
Formation energy from raw total energies   -3.396 eV per atom
D(E_F)   0.00 states/eV/f.u.

---

Record 3
Compound: K2SrBeF6
Source: Alexandria
Functional: GGA-PBE
Structure: optimized geometry

Structure (POSCAR):
```
K2SrBeF6
1.0
0.0000 4.1847 4.1847
4.1847 0.0000 4.1847
4.1847 4.1847 0.0000
K Sr Be F
2 1 1 6
Direct
0.2500 0.2500 0.2500
0.7500 0.7500 0.7500
0.0000 0.0000 0.0000
0.5000 0.5000 0.5000
0.2839 0.2839 0.7161
0.2839 0.7161 0.2839
0.2839 0.7161 0.7161
0.7161 0.2839 0.2839
0.7161 0.2839 0.7161
0.7161 0.7161 0.2839
```

Total magnetization   0.00 μB per formula unit
Total DFT energy (no corrections)   -5.022 eV/atom
Formation energy from raw total energies   -3.139 eV per atom
D(E_F)   0.00 states/eV/f.u.

---

Record 4
Compound: KTiBe2F8
Source: Alexandria
Functional: GGA-PBE
Structure: optimized geometry

Structure (POSCAR):
```
KTiBe2F8
1.0
2.4642 1.4227 8.1148
-2.4642 1.4227 8.1148
0.0000 -2.8454 8.1148
K Ti Be F
1 1 2 8
Direct
0.0000 0.0000 0.0000
0.5000 0.5000 0.5000
0.2432 0.2432 0.2432
0.7568 0.7568 0.7568
0.1044 0.5189 0.7220
0.2780 0.4811 0.8956
0.3043 0.3043 0.3043
0.4811 0.8956 0.2780
0.5189 0.7220 0.1044
0.6957 0.6957 0.6957
0.7220 0.1044 0.5189
0.8956 0.2780 0.4811
```

Total magnetization   1.00 μB per formula unit
Total DFT energy (no corrections)   -5.796 eV/atom
Formation energy from raw total energies   -3.178 eV per atom
D(E_F)   8.10 states/eV/f.u.

---

Record 5
Compound: K3BeTl4F8
Source: Alexandria
Functional: GGA-PBE
Structure: optimized geometry

Structure (POSCAR):
```
K3BeTl4F8
1.0
6.3311 -3.6766 0.0000
6.3311 3.6766 0.0000
-4.0386 0.0000 6.8207
K Be Tl F
3 1 4 8
Direct
0.0000 0.0000 0.0000
0.0000 0.5000 0.0000
0.5000 0.0000 0.0000
0.5000 0.5000 0.0000
0.0000 0.0000 0.5000
0.0000 0.5000 0.5000
0.5000 0.0000 0.5000
0.5000 0.5000 0.5000
0.2368 0.2368 0.7573
0.2402 0.2402 0.2345
0.3277 0.6515 0.1401
0.3485 0.6723 0.8599
0.6515 0.3277 0.1401
0.6723 0.3485 0.8599
0.7598 0.7598 0.7655
0.7632 0.7632 0.2427
```

Total magnetization   0.00 μB per formula unit
Total DFT energy (no corrections)   -4.112 eV/atom
Formation energy from raw total energies   -2.146 eV per atom
D(E_F)   2.35 states/eV/f.u.

---

Record 6
Compound: K3Be2TlF8
Source: Alexandria
Functional: GGA-PBE
Structure: optimized geometry

Structure (POSCAR):
```
K3Be2TlF8
1.0
5.7371 0.0000 0.0000
-2.8685 4.9684 0.0000
0.0000 0.0000 8.6496
K Be Tl F
3 2 1 8
Direct
0.0000 0.0000 0.0000
0.3333 0.6667 0.7394
0.6667 0.3333 0.2606
0.3333 0.6667 0.2031
0.6667 0.3333 0.7969
0.0000 0.0000 0.5000
0.1844 0.3688 0.2658
0.1844 0.8156 0.2658
0.3333 0.6667 0.0252
0.3688 0.1844 0.7342
0.6312 0.8156 0.2658
0.6667 0.3333 0.9748
0.8156 0.1844 0.7342
0.8156 0.6312 0.7342
```

Total magnetization   0.00 μB per formula unit
Total DFT energy (no corrections)   -4.899 eV/atom
Formation energy from raw total energies   -2.893 eV per atom
D(E_F)   0.00 states/eV/f.u.

---

Record 7
Compound: KTmBe2F8
Source: Alexandria
Functional: GGA-PBE
Structure: optimized geometry

Structure (POSCAR):
```
KTmBe2F8
1.0
4.2536 -2.7496 0.0000
4.2536 2.7496 0.0000
-0.3398 0.0000 8.0769
K Tm Be F
1 1 2 8
Direct
0.0000 0.0000 0.0000
0.0000 0.0000 0.5000
0.3674 0.3674 0.7249
0.6326 0.6326 0.2751
0.2363 0.7070 0.6935
0.2435 0.2435 0.5714
0.2930 0.7637 0.3065
0.2990 0.2990 0.8913
0.7010 0.7010 0.1087
0.7070 0.2363 0.6935
0.7565 0.7565 0.4286
0.7637 0.2930 0.3065
```

Total magnetization   0.15 μB per formula unit
Total DFT energy (no corrections)   -5.841 eV/atom
Formation energy from raw total energies   -3.509 eV per atom
D(E_F)   0.00 states/eV/f.u.

---

Q: What is the total magnetization in the fifth record?
A: 0.00 μB per formula unit